No. 1
Material: TaAg2Mo
Method: DFT, PBE
State: optimized geometry

As for the crystal system: orthorhombic. The calculation puts the polymorph energy (0 for the lowest one) at 266.5 meV per atom.

It has space group Cmmm (No. 65), with a = 3.242 Å, b = 4.351 Å, c = 9.776 Å, α = 90.00°, β = 90.00° and γ = 90.00°. The asymmetric unit holds Ta at (0.000, 0.000, 0.000), Ag at (0.000, 0.500, 0.252) and Mo at (0.000, 0.000, 0.500).



No. 2
Material: TaAgMo
Method: DFT, PBE
State: optimized geometry

As for the crystal system: trigonal. The calculation puts the polymorph energy (0 for the lowest one) at 153.9 meV per atom.

It has space group P3m1 (No. 156), with a = 4.7591 Å, b = 4.7591 Å, c = 2.6307 Å, α = 90.00°, β = 90.00° and γ = 120.00°. The asymmetric unit holds Ta at (0.0000, 0.0000, 0.0000), Ag at (0.3333, 0.6667, 0.2699) and Mo at (0.6667, 0.3333, 0.6441).



No. 3
Material: TaAg2Mo
Method: DFT, PBE
State: optimized geometry

As for the crystal system: monoclinic. The calculation puts the polymorph energy (0 for the lowest one) at 222.5 meV per atom.

It has space group C2/m (No. 12), with a = 5.392 Å, b = 9.922 Å, c = 2.742 Å, α = 90.00°, β = 109.52° and γ = 90.00°. The asymmetric unit holds Ta at (0.000, 0.000, 0.000), Ag at (0.250, 0.250, 0.500) and Mo at (0.000, 0.500, 0.000).



No. 4
Material: TaAg2Mo
Method: DFT, PBE
State: optimized geometry

As for the crystal system: tetragonal. The calculation puts the polymorph energy (0 for the lowest one) at 781.5 meV per atom.

It has space group I-42d (No. 122), with a = 7.537 Å, b = 7.537 Å, c = 5.241 Å, α = 90.00°, β = 90.00° and γ = 90.00°. The asymmetric unit holds Ta at (0.000, 0.000, 0.000), Ag at (0.248, 0.750, 0.625) and Mo at (0.000, 0.000, 0.500).



No. 5
Material: TaAg2Mo
Method: DFT, PBE
State: optimized geometry

As for the crystal system: orthorhombic. The calculation puts the polymorph energy (0 for the lowest one) at 317.8 meV per atom.

It has space group Imm2 (No. 44), with a = 3.126 Å, b = 4.936 Å, c = 9.262 Å, α = 90.00°, β = 90.00° and γ = 90.00°. The asymmetric unit holds Ta at (0.000, 0.000, 0.000), Ag at (0.000, 0.000, 0.520), Ag at (0.000, 0.500, 0.764) and Mo at (0.000, 0.500, 0.284).



No. 6
Material: TaAg2Mo
Method: DFT, PBE
State: optimized geometry

As for the crystal system: trigonal. The calculation puts the polymorph energy (0 for the lowest one) at 144.1 meV per atom.

It has space group R3m (No. 160, hexagonal axes), with a = 2.8529 Å, b = 2.8529 Å, c = 29.7217 Å, α = 90.00°, β = 90.00° and γ = 120.00°. The asymmetric unit holds Ta at (0.0000, 0.0000, 0.0000), Ag at (0.0000, 0.0000, 0.5008), Ag at (0.0000, 0.0000, 0.7510) and Mo at (0.0000, 0.0000, 0.2497).



No. 7
Material: TaAg2Mo
Method: DFT, PBE
State: optimized geometry

As for the crystal system: cubic. The calculation puts the polymorph energy (0 for the lowest one) at 601.0 meV per atom.

It has space group Fm-3m (No. 225), with a = 6.524 Å, b = 6.524 Å, c = 6.524 Å, α = 90.00°, β = 90.00° and γ = 90.00°. The asymmetric unit holds Ta at (0.000, 0.000, 0.000), Ag at (0.250, 0.250, 0.250) and Mo at (0.000, 0.000, 0.500).



No. 8
Material: TaAg2Mo
Method: DFT, PBE
State: optimized geometry

As for the crystal system: trigonal. The calculation puts the polymorph energy (0 for the lowest one) at 272.8 meV per atom.

It has space group R-3m (No. 166, hexagonal axes), with a = 2.8334 Å, b = 2.8334 Å, c = 29.8163 Å, α = 90.00°, β = 90.00° and γ = 120.00°. The asymmetric unit holds Ta at (0.0000, 0.0000, 0.0000), Ag at (0.0000, 0.0000, 0.2486) and Mo at (0.0000, 0.0000, 0.5000).



No. 9
Material: TaAg2Mo2
Method: DFT, PBE
State: optimized geometry

As for the crystal system: tetragonal.

It has space group I4/mmm (No. 139), with a = 3.750 Å, b = 3.750 Å, c = 13.303 Å, α = 90.00°, β = 90.00° and γ = 90.00°. The asymmetric unit holds Ta at (0.000, 0.000, 0.000), Ag at (0.000, 0.500, 0.250) and Mo at (0.000, 0.000, 0.415).



No. 10
Material: TaAg2Mo
Method: DFT, PBE
State: optimized geometry

As for the crystal system: tetragonal. The calculation puts the polymorph energy (0 for the lowest one) at 349.6 meV per atom.

It has space group I-4m2 (No. 119), with a = 4.129 Å, b = 4.129 Å, c = 8.083 Å, α = 90.00°, β = 90.00° and γ = 90.00°. The asymmetric unit holds Ta at (0.000, 0.000, 0.000), Ag at (0.000, 0.000, 0.500), Ag at (0.000, 0.500, 0.750) and Mo at (0.000, 0.500, 0.250).



No. 11
Material: TaAg2Mo
Method: DFT, PBE
State: optimized geometry

As for the crystal system: orthorhombic. The calculation puts the polymorph energy (0 for the lowest one) at 0.0 meV per atom.

It has space group Cmm2 (No. 35), with a = 3.306 Å, b = 4.536 Å, c = 9.299 Å, α = 90.00°, β = 90.00° and γ = 90.00°. The asymmetric unit holds Ta at (0.000, 0.000, 0.000), Ag at (0.000, 0.000, 0.486), Ag at (0.000, 0.500, 0.743) and Mo at (0.000, 0.500, 0.232).



No. 12
Material: ZrTaAgMo2
Method: DFT, PBE
State: optimized geometry

As for the crystal system: tetragonal. The calculation puts the polymorph energy (0 for the lowest one) at 0.0 meV per atom.

It has space group P4/mmm (No. 123), with a = 4.737 Å, b = 4.737 Å, c = 4.997 Å, α = 90.00°, β = 90.00° and γ = 90.00°. The asymmetric unit holds Zr at (0.000, 0.000, 0.000), Ta at (0.500, 0.500, 0.500), Ag at (0.500, 0.500, 0.000) and Mo at (0.000, 0.500, 0.500).



Number 1: total magnetic moment 0.0 μB/cell, total DFT energy (no corrections) -53.11 eV per cell, E_form 177 kJ/mol of formula units. Number 2: total magnetic moment 0.0 μB/cell, total DFT energy (no corrections) -24.39 eV per cell, E_form 110 kJ/mol of formula units. Number 3: total magnetic moment 0.0 μB/cell, total DFT energy (no corrections) -53.46 eV per cell, E_form 160 kJ/mol of formula units. Number 4: total magnetic moment 0.0 μB/cell, total DFT energy (no corrections) -97.98 eV per cell, E_form 375 kJ/mol of formula units. Number 5: total magnetic moment 0.0 μB/cell, total DFT energy (no corrections) -52.70 eV per cell, E_form 196 kJ/mol of formula units. Number 6: total magnetic moment 0.0 μB/cell, total DFT energy (no corrections) -81.14 eV per cell, E_form 129 kJ/mol of formula units. Number 7: total magnetic moment 0.3 μB/cell, total DFT energy (no corrections) -100.87 eV per cell, E_form 306 kJ/mol of formula units. Number 8: total magnetic moment 0.0 μB/cell, total DFT energy (no corrections) -79.59 eV per cell, E_form 179 kJ/mol of formula units. Number 9: total magnetic moment 0.0 μB/cell, total DFT energy (no corrections) -71.99 eV per cell, E_form 311 kJ/mol of formula units. Number 10: total magnetic moment 1.4 μB/cell, total DFT energy (no corrections) -52.45 eV per cell, E_form 209 kJ/mol of formula units. Number 11: total magnetic moment 0.0 μB/cell, total DFT energy (no corrections) -55.24 eV per cell, E_form 74 kJ/mol of formula units. Number 12: total magnetic moment 0.0 μB/cell, total DFT energy (no corrections) -37.95 eV per cell, E_form 672 kJ/mol of formula units.